Entry from Alexandria: a relaxed structure of Sm14HoTm (PBE).

Summary:
The value obtained for the uncorrected energy is -4.679 eV/atom. The value obtained for the formation energy is 0.3 eV/f.u.

Structure (CIF):
```
data_Sm14HoTm
_space_group_name_H-M_alt 'P 4/m m m'
_space_group_IT_number 123
_space_group_name_Hall '-P 4 2'
_cell_length_a 7.2330
_cell_length_b 7.2330
_cell_length_c 10.1946
_cell_angle_alpha 90.00
_cell_angle_beta 90.00
_cell_angle_gamma 90.00
loop_
_atom_site_label
_atom_site_fract_x
_atom_site_fract_y
_atom_site_fract_z
Sm1 0.0000 0.0000 0.0000
Sm2 0.0000 0.5000 0.0000
Sm3 0.0000 0.5000 0.5000
Sm4 0.2503 0.2503 0.2519
Sm5 0.5000 0.5000 0.0000
Ho1 0.0000 0.0000 0.5000
Tm1 0.5000 0.5000 0.5000
```